# Er2TiAl, relaxed, DFT PBE-GGA
# Relative energy among the computed polymorphs: 0.0 kJ/mol of atoms
# Calculated formation energy: -0.09 eV per atom
# D(E_F): 4.01 states/eV/f.u.
data_Er2TiAl
_chemical_formula_sum 'Er2 Ti1 Al1'
_cell_length_a 4.534
_cell_length_b 4.534
_cell_length_c 4.407
_cell_angle_alpha 90.00
_cell_angle_beta 90.00
_cell_angle_gamma 90.00
_symmetry_space_group_name_H-M 'P 4/m m m'
_symmetry_Int_Tables_number 123
_symmetry_space_group_name_Hall '-P 4 2'
loop_
_atom_site_label
_atom_site_type_symbol
_atom_site_fract_x
_atom_site_fract_y
_atom_site_fract_z
Er1 Er 0.000 0.500 0.000
Ti1 Ti 0.000 0.000 0.500
Al1 Al 0.500 0.500 0.500